A geometry-optimized RbTaCrO6 structure, computed with PBE with a Hubbard U.

The structure in CIF format:
```
data_RbTaCrO6
_cell_length_a 5.210
_cell_length_b 5.210
_cell_length_c 6.302
_cell_angle_alpha 90.00
_cell_angle_beta 90.00
_cell_angle_gamma 60.00
_space_group_name_H-M_alt 'P 1'
_space_group_IT_number 1
_space_group_name_Hall 'P 1'
loop_
_atom_site_label
_atom_site_fract_x
_atom_site_fract_y
_atom_site_fract_z
O1 0.016 0.395 0.327
Ta1 0.667 0.667 0.544
O2 0.395 0.589 0.327
O3 0.383 0.024 0.674
Cr1 0.333 0.333 0.459
Rb1 0.000 0.000 0.993
O4 0.589 0.016 0.327
O5 0.024 0.593 0.674
O6 0.593 0.383 0.674
```

Calculated values
The total magnetic moment is 0.000 μB per atom. The electronic total energy is -7.41 eV per atom.